1.
This record from Alexandria via LeMat-Bulk describes a relaxed structure of ErLuAlOs. The functional is PBE.

Geometry as POSCAR:
```
ErLuAlOs
1.0
6.8782 0.0000 0.0000
0.0000 6.8782 0.0000
0.0000 0.0000 6.8782
Er Lu Al Os
4 4 4 4
Direct
0.0000 0.0000 0.0000 Er
0.0000 0.5000 0.5000 Er
0.5000 0.0000 0.5000 Er
0.5000 0.5000 0.0000 Er
0.0000 0.0000 0.5000 Lu
0.0000 0.5000 0.0000 Lu
0.5000 0.0000 0.0000 Lu
0.5000 0.5000 0.5000 Lu
0.2500 0.2500 0.7500 Al
0.2500 0.7500 0.2500 Al
0.7500 0.2500 0.2500 Al
0.7500 0.7500 0.7500 Al
0.2500 0.2500 0.2500 Os
0.2500 0.7500 0.7500 Os
0.7500 0.2500 0.7500 Os
0.7500 0.7500 0.2500 Os
```

## Properties
Formation enthalpy at 0 K ... -1.35 eV per formula unit
Total energy ... -6.35 eV/atom
Crystal system ... cubic
Total moment ... 0.0 μB per formula unit

2.
This record from Alexandria via LeMat-Bulk describes a relaxed structure of CeB14Mo. The functional is PBE.

Geometry as POSCAR:
```
CeB14Mo
1.0
-2.9391 5.4965 4.1101
2.9391 -5.4965 4.1101
2.9391 5.4965 -4.1101
Ce B Mo
2 28 2
Direct
0.3744 0.1244 0.2500 Ce
0.6256 0.8756 0.7500 Ce
0.0100 0.1293 0.8806 B
0.0262 0.2040 0.3296 B
0.0262 0.6966 0.8222 B
0.0923 0.6715 0.4207 B
0.1971 0.5295 0.6676 B
0.2250 0.5002 0.4035 B
0.2250 0.8215 0.7248 B
0.2492 0.3285 0.9207 B
0.2513 0.8707 0.3806 B
0.3619 0.5295 0.8324 B
0.3743 0.2040 0.6778 B
0.3743 0.6966 0.1704 B
0.4033 0.1785 0.9035 B
0.4033 0.4998 0.2248 B
0.5967 0.5002 0.7752 B
0.5967 0.8215 0.0965 B
0.6257 0.3034 0.8296 B
0.6257 0.7960 0.3222 B
0.6381 0.4705 0.1676 B
0.7487 0.1293 0.6194 B
0.7508 0.6715 0.0793 B
0.7750 0.1785 0.2752 B
0.7750 0.4998 0.5965 B
0.8029 0.4705 0.3324 B
0.9077 0.3285 0.5793 B
0.9738 0.3034 0.1778 B
0.9738 0.7960 0.6704 B
0.9900 0.8707 0.1194 B
0.0000 0.0000 0.5000 Mo
0.0000 0.5000 0.0000 Mo
```

## Properties
Formation enthalpy at 0 K ... -2.19 eV per formula unit
Total energy ... -7.03 eV/atom
Crystal system ... orthorhombic
Total moment ... 0.4 μB per formula unit

Among the records above, which one has the lowest formation enthalpy at 0 K? CeB14Mo